[1]
Below is an optimized crystal structure of SiIr2Au, with properties calculated at the PBE level.

```
SiIr2Au
1.0
-1.949 1.949 3.950
1.949 -1.949 3.950
1.949 1.949 -3.950
Si Ir Au
1 2 1
direct
0.000 0.000 0.000
0.500 0.500 0.000
0.750 0.250 0.500
0.250 0.750 0.500
```

## Properties
D(E_F)	5.7	states/eV/f.u.
final energy	-6.325	eV/atom

---

[2]
Below is an optimized crystal structure of Mg2Ag3, with properties calculated at the PBE level.

```
Mg2Ag3
1.0
1.526 0.881 11.629
-1.526 0.881 11.629
0.000 -1.762 11.629
Mg Ag
2 3
direct
0.099 0.099 0.099
0.901 0.901 0.901
0.299 0.299 0.299
0.500 0.500 0.500
0.701 0.701 0.701
```

## Properties
energy of formation from the pure elements	-98	meV/atom
excess energy over the best structure of this formula in the dataset	99.0	meV per atom
D(E_F)	1.9	states/eV/f.u.